# 1
Here is LaTa2W after structural relaxation from Alexandria. Energies are from PBEsol.

Calculated values
DFT formation energy   0.63 eV/atom
Excess energy over the best structure of this formula in the dataset   0.026 eV/atom
E   -41.7 eV per cell
Theoretical density   15.03 g/cm3

Cell: 3.142 4.906 4.906 Å, 90.00 90.00 90.00°
Positions (direct):
Ta  0.000  0.500  0.000
Ta  0.000  0.000  0.500
W  0.500  0.500  0.500
La  0.500  0.000  0.000


# 2
Here is LaY2Ta after structural relaxation from Alexandria. Energies are from PBEsol.

Calculated values
DFT formation energy   0.36 eV/atom
Excess energy over the best structure of this formula in the dataset   0.000 eV/atom
E   -30.1 eV per cell
Theoretical density   7.85 g/cm3

Cell: 3.268 4.773 6.747 Å, 90.00 90.00 90.00°
Positions (direct):
Ta  0.500  0.500  0.500
Y  0.000  0.000  0.276
Y  0.000  0.000  0.724
La  0.500  0.500  0.000


# 3
Here is La2YTa after structural relaxation from Alexandria. Energies are from PBEsol.

Calculated values
DFT formation energy   0.43 eV/atom
Excess energy over the best structure of this formula in the dataset   0.110 eV/atom
E   -28.3 eV per cell
Theoretical density   8.28 g/cm3

Cell: 3.989 5.224 6.209 Å, 114.88 108.74 90.00°
Positions (direct):
Ta  0.499  0.499  0.997
Y  0.223  0.723  0.445
La  0.999  0.999  0.998
La  0.780  0.280  0.559


# 4
Here is La2YTa after structural relaxation from Alexandria. Energies are from PBEsol.

Calculated values
DFT formation energy   0.38 eV/atom
Excess energy over the best structure of this formula in the dataset   0.061 eV/atom
E   -28.5 eV per cell
Theoretical density   8.22 g/cm3

Cell: 3.304 3.304 10.139 Å, 90.00 90.00 90.00°
Positions (direct):
Y  0.500  0.500  0.500
La  0.000  0.000  0.221
La  0.000  0.000  0.779
Ta  0.500  0.500  0.000


# 5
Here is LaYTa2 after structural relaxation from Alexandria. Energies are from PBEsol.

Calculated values
DFT formation energy   0.61 eV/atom
Excess energy over the best structure of this formula in the dataset   0.000 eV/atom
E   -34.8 eV per cell
Theoretical density   10.79 g/cm3

Cell: 3.109 3.109 10.988 Å, 81.87 81.87 60.00°
Positions (direct):
Y  0.500  0.500  0.500
Ta  0.247  0.247  0.260
Ta  0.753  0.753  0.740
La  0.000  0.000  0.000


# 6
Here is LaY2Ta after structural relaxation from Alexandria. Energies are from PBEsol.

Calculated values
DFT formation energy   0.45 eV/atom
Excess energy over the best structure of this formula in the dataset   0.089 eV/atom
E   -29.8 eV per cell
Theoretical density   7.97 g/cm3

Cell: 5.274 5.274 5.274 Å, 60.00 60.00 60.00°
Positions (direct):
Y  0.750  0.750  0.750
Y  0.000  0.000  0.000
Ta  0.250  0.250  0.250
La  0.500  0.500  0.500


# 7
Here is La2YTa after structural relaxation from Alexandria. Energies are from PBEsol.

Calculated values
DFT formation energy   0.42 eV/atom
Excess energy over the best structure of this formula in the dataset   0.104 eV/atom
E   -28.4 eV per cell
Theoretical density   8.26 g/cm3

Cell: 3.251 3.251 11.153 Å, 90.00 90.00 110.90°
Positions (direct):
La  0.000  0.000  0.287
La  0.000  0.000  0.713
Y  0.500  0.500  0.000
Ta  0.500  0.500  0.500


# 8
Here is LaYTa2 after structural relaxation from Alexandria. Energies are from PBEsol.

Calculated values
DFT formation energy   0.66 eV/atom
Excess energy over the best structure of this formula in the dataset   0.044 eV/atom
E   -34.6 eV per cell
Theoretical density   10.36 g/cm3

Cell: 3.768 3.768 6.662 Å, 90.00 90.00 90.00°
Positions (direct):
Ta  0.000  0.000  0.708
Ta  0.000  0.000  0.292
La  0.500  0.500  0.500
Y  0.500  0.500  0.000